1.
Crystalline BIBr3 at its relaxed geometry. Source: Alexandria, functional PBE-GGA.

Output
As for the formation energy without anion corrections: -7.069 kcal/mol of atoms. For the volume, the calculation gives 863.6 Å³ per cell. The distance to the lowest polymorph of the same formula is 0.00 eV per formula unit.

a b c (Å): 5.864 12.471 11.857
angles (deg): 95.21 90.00 90.00
Positions (direct):
Br 0.233 0.940 0.005
Br 0.300 0.696 0.628
Br 0.200 0.153 0.846
Br 0.700 0.304 0.372
Br 0.200 0.196 0.128
Br 0.767 0.060 0.995
Br 0.267 0.440 0.505
Br 0.800 0.804 0.872
Br 0.800 0.847 0.154
Br 0.733 0.560 0.495
Br 0.300 0.653 0.346
Br 0.700 0.347 0.654
B 0.118 0.104 0.992
B 0.882 0.896 0.008
B 0.382 0.604 0.492
B 0.618 0.396 0.508
I 0.727 0.474 0.020
I 0.227 0.026 0.480
I 0.273 0.526 0.980
I 0.773 0.974 0.520

---

2.
Crystalline B3IBr at its relaxed geometry. Source: Alexandria, functional PBE-GGA.

Output
As for the formation energy without anion corrections: 60.166 kcal/mol of atoms. For the volume, the calculation gives 106.0 Å³ per cell. The distance to the lowest polymorph of the same formula is 0.45 eV per formula unit. For the density of states at the Fermi level, the calculation gives 3.55 states/eV per cell.

a b c (Å): 4.732 4.732 4.732
angles (deg): 90.00 90.00 90.00
Positions (direct):
B 0.000 0.500 0.000
B 0.000 0.000 0.500
B 0.500 0.000 0.000
I 0.000 0.000 0.000
Br 0.500 0.500 0.500

---

3.
Crystalline BI2Br at its relaxed geometry. Source: Alexandria, functional PBE-GGA.

Output
As for the formation energy without anion corrections: 32.097 kcal/mol of atoms. For the volume, the calculation gives 109.2 Å³ per cell. The distance to the lowest polymorph of the same formula is 5.98 eV per formula unit. For the density of states at the Fermi level, the calculation gives 7.42 states/eV per cell.

a b c (Å): 5.365 5.365 5.365
angles (deg): 60.00 60.00 60.00
Positions (direct):
I 0.250 0.250 0.250
I 0.750 0.750 0.750
Br 0.500 0.500 0.500
B 0.000 0.000 0.000

---

4.
Crystalline BI2Br at its relaxed geometry. Source: Alexandria, functional PBE-GGA.

Output
As for the formation energy without anion corrections: -2.351 kcal/mol of atoms. For the volume, the calculation gives 752.7 Å³ per cell. The distance to the lowest polymorph of the same formula is 0.00 eV per formula unit. For the density of states at the Fermi level, the calculation gives 0.00 states/eV per cell.

a b c (Å): 5.530 7.484 18.188
angles (deg): 90.04 89.99 90.03
Positions (direct):
I 0.668 0.466 0.119
I 0.332 0.534 0.881
I 0.667 0.967 0.881
I 0.833 0.467 0.381
I 0.167 0.533 0.619
I 0.832 0.966 0.619
I 0.333 0.033 0.119
I 0.168 0.034 0.381
Br 0.251 0.391 0.250
Br 0.749 0.609 0.750
Br 0.250 0.891 0.750
Br 0.750 0.109 0.250
B 0.999 0.750 0.682
B 0.499 0.750 0.818
B 0.501 0.250 0.182
B 0.001 0.250 0.318

---

5.
Crystalline B2IBr at its relaxed geometry. Source: Alexandria, functional PBE-GGA.

Output
As for the formation energy without anion corrections: 40.064 kcal/mol of atoms. For the volume, the calculation gives 240.0 Å³ per cell. The distance to the lowest polymorph of the same formula is 0.00 eV per formula unit. For the density of states at the Fermi level, the calculation gives 0.00 states/eV per cell.

a b c (Å): 6.279 6.279 7.536
angles (deg): 65.38 65.38 90.00
Positions (direct):
B 0.143 0.625 0.250
B 0.875 0.857 0.750
B 0.375 0.393 0.750
B 0.607 0.125 0.250
I 0.750 0.250 0.500
I 0.000 0.000 0.000
Br 0.250 0.750 0.500
Br 0.500 0.500 0.000

---

6.
Crystalline BIrI2Br at its relaxed geometry. Source: Alexandria, functional PBE-GGA.

Output
As for the formation energy without anion corrections: 33.192 kcal/mol of atoms. For the volume, the calculation gives 110.4 Å³ per cell. For the density of states at the Fermi level, the calculation gives 4.61 states/eV per cell.

a b c (Å): 5.120 4.210 5.120
angles (deg): 90.00 90.00 90.00
Positions (direct):
B 0.000 0.000 0.000
I 0.500 0.000 0.000
I 0.000 0.000 0.500
Br 0.000 0.500 0.000
Ir 0.500 0.500 0.500

---

7.
Crystalline BIBrN2 at its relaxed geometry. Source: Alexandria, functional PBE-GGA.

Output
As for the formation energy without anion corrections: 59.961 kcal/mol of atoms. For the volume, the calculation gives 118.4 Å³ per cell. The distance to the lowest polymorph of the same formula is 2.99 eV per formula unit. For the density of states at the Fermi level, the calculation gives 2.26 states/eV per cell.

a b c (Å): 3.873 3.873 7.894
angles (deg): 90.00 90.00 90.00
Last column: magnetic moment on the atom in μB.
Positions (direct):
N 0.000 0.500 0.000  0.32
N 0.500 0.000 0.000  0.32
Br 0.000 0.000 0.000  0.02
B 0.500 0.500 0.500  0.00
I 0.000 0.000 0.500  0.00

---

8.
Crystalline BI2BrN at its relaxed geometry. Source: Alexandria, functional PBE-GGA.

Output
As for the formation energy without anion corrections: -0.604 kcal/mol of atoms. For the volume, the calculation gives 202.8 Å³ per cell. The distance to the lowest polymorph of the same formula is 0.00 eV per formula unit. For the density of states at the Fermi level, the calculation gives 4.68 states/eV per cell.

a b c (Å): 8.641 8.641 2.716
angles (deg): 90.00 90.00 90.00
Positions (direct):
B 0.000 0.000 0.000
I 0.000 0.500 0.000
I 0.500 0.000 0.000
Br 0.500 0.500 0.500
N 0.000 0.000 0.500

---

9.
Crystalline BI2BrN at its relaxed geometry. Source: Alexandria, functional PBE-GGA.

Output
As for the formation energy without anion corrections: 46.014 kcal/mol of atoms. For the volume, the calculation gives 159.3 Å³ per cell. The distance to the lowest polymorph of the same formula is 10.11 eV per formula unit. For the density of states at the Fermi level, the calculation gives 3.16 states/eV per cell.

a b c (Å): 6.582 6.582 3.676
angles (deg): 90.00 90.00 90.00
Positions (direct):
Br 0.000 0.000 0.000
N 0.000 0.000 0.500
B 0.500 0.500 0.500
I 0.500 0.000 0.000
I 0.000 0.500 0.000

---

10.
Crystalline BIBrN2 at its relaxed geometry. Source: Alexandria, functional PBE-GGA.

Output
As for the formation energy without anion corrections: 46.173 kcal/mol of atoms. For the volume, the calculation gives 92.4 Å³ per cell. The distance to the lowest polymorph of the same formula is 0.00 eV per formula unit. For the density of states at the Fermi level, the calculation gives 3.07 states/eV per cell.

a b c (Å): 3.675 3.675 6.844
angles (deg): 90.00 90.00 90.00
Last column: magnetic moment on the atom in μB.
Positions (direct):
N 0.500 0.000 0.000  0.28
N 0.000 0.500 0.000  0.28
B 0.000 0.000 0.000  -0.06
Br 0.500 0.500 0.500  0.00
I 0.000 0.000 0.500  0.00

---

11.
Crystalline Nd4BI2Br at its relaxed geometry. Source: Alexandria, functional PBE-GGA.

Output
As for the formation energy without anion corrections: -19.458 kcal/mol of atoms. For the volume, the calculation gives 238.8 Å³ per cell. For the density of states at the Fermi level, the calculation gives 2.45 states/eV per cell.

a b c (Å): 4.102 7.605 7.996
angles (deg): 106.80 90.00 90.00
Positions (direct):
B 0.500 0.500 0.000
I 0.500 0.000 0.500
I 0.000 0.500 0.500
Br 0.000 0.000 0.000
Nd 0.500 0.717 0.803
Nd 0.000 0.692 0.185
Nd 0.000 0.308 0.815
Nd 0.500 0.283 0.197

---

12.
Crystalline BIBrO2 at its relaxed geometry. Source: Alexandria, functional PBE-GGA.

Output
As for the formation energy without anion corrections: 16.433 kcal/mol of atoms. For the volume, the calculation gives 77.4 Å³ per cell. The distance to the lowest polymorph of the same formula is 0.00 eV per formula unit. For the density of states at the Fermi level, the calculation gives 1.49 states/eV per cell.

a b c (Å): 3.706 3.706 5.634
angles (deg): 90.00 90.00 90.00
Positions (direct):
I 0.000 0.000 0.500
O 0.500 0.000 0.000
O 0.000 0.500 0.000
B 0.000 0.000 0.000
Br 0.500 0.500 0.500

---

Q: Among the records above, which one has the lowest formation energy without anion corrections?
A: Nd4BI2Br

---

What did the third record say?
Crystalline BI2Br at its relaxed geometry. Source: Alexandria, functional PBE-GGA.

Output
As for the formation energy without anion corrections: 32.097 kcal/mol of atoms. For the volume, the calculation gives 109.2 Å³ per cell. The distance to the lowest polymorph of the same formula is 5.98 eV per formula unit. For the density of states at the Fermi level, the calculation gives 7.42 states/eV per cell.

a b c (Å): 5.365 5.365 5.365
angles (deg): 60.00 60.00 60.00
Positions (direct):
I 0.250 0.250 0.250
I 0.750 0.750 0.750
Br 0.500 0.500 0.500
B 0.000 0.000 0.000

---

Q: The lowest formation energy without anion corrections belongs to which entry?
A: Nd4BI2Br

---

Q: What is the formation energy without anion corrections in the third record?
A: 32.097 kcal/mol of atoms